A plane-wave DFT calculation with PBE with a Hubbard U was carried out for a geometry-optimized Na3UCo2O6 structure.

```
data_Na3UCo2O6
_chemical_formula_sum 'Na6 U2 Co4 O12'
_symmetry_space_group_name_H-M 'C 1 2/m 1'
_symmetry_Int_Tables_number 12
_cell_length_a 5.5082
_cell_length_b 9.5663
_cell_length_c 5.8137
_cell_angle_alpha 90.00
_cell_angle_beta 107.98
_cell_angle_gamma 90.00
loop_
_symmetry_equiv_pos_as_xyz
'x,y,z'
'-x,-y,-z'
'-x,y,-z'
'x,-y,z'
'x+1/2,y+1/2,z'
'-x+1/2,-y+1/2,-z'
'-x+1/2,y+1/2,-z'
'x+1/2,-y+1/2,z'
loop_
_atom_site_label
_atom_site_type_symbol
_atom_site_fract_x
_atom_site_fract_y
_atom_site_fract_z
Na1 Na 0.0000 0.0000 0.0000
Na2 Na 0.0000 0.3237 0.0000
U1 U 0.0000 0.5000 0.5000
Co1 Co 0.0000 0.1664 0.5000
O1 O 0.2363 0.3337 0.7104
O2 O 0.2376 0.0000 0.7121
```

Computed properties:
The calculation puts the total energy at -6.543 eV/atom. As for the crystal system: monoclinic.